11
Lattice="5.595 0.000 0.000 2.797 4.845 0.000 2.797 1.615 5.347" Properties=species:S:1:pos:R:3 comment="Ac2P2IrN6 (PBE, optimized geometry)" raw_formation_energy_ev_per_atom=-0.620 pbc="T T T"
Ir 0.000 0.000 0.000
N 6.986 4.033 1.308
Ac 8.392 4.845 3.674
N 6.986 2.427 4.039
P 5.595 3.230 1.597
P 5.595 3.230 3.750
N 4.203 4.033 1.308
N 5.595 4.837 4.039
N 5.595 1.623 1.308
Ac 2.797 1.615 1.673
N 4.203 2.427 4.039